The following is a DFT calculation (GGA-PBE) of a relaxed Na3HgPb crystal.

Properties
**E_tot**: -1.516 eV per atom
**Magnetization**: 1.0 μB per cell
**Energy of formation**: 0.08 eV per atom
**Symmetry**: No. 221
**Distance to the lowest polymorph of the same formula**: 244 meV/atom

Unit cell a=6.037 b=6.037 c=6.037 alpha=90.00 beta=90.00 gamma=90.00
Fractional positions:
1 Na 0.000 0.000 0.500
2 Na 0.000 0.500 0.000
3 Na 0.500 0.000 0.000
4 Hg 0.500 0.500 0.500
5 Pb 0.000 0.000 0.000

=====

The following is a DFT calculation (GGA-PBE) of a relaxed Al2CrTe crystal.

Properties
**E_tot**: -4.886 eV per atom
**Magnetization**: 0.0 μB per cell
**Symmetry**: No. 8

Unit cell a=4.601 b=4.601 c=5.959 alpha=90.42 beta=90.42 gamma=42.21
Fractional positions:
1 Al 0.000 0.000 0.000
2 Al 0.715 0.715 0.807
3 Cr 0.284 0.284 0.104
4 Te 0.625 0.625 0.364

=====

The following is a DFT calculation (GGA-PBE) of a relaxed LiPb2IO6 crystal.

Properties
**E_tot**: -5.038 eV per atom
**Magnetization**: 0.0 μB per cell
**Symmetry**: No. 14

Unit cell a=5.773 b=5.767 c=9.938 alpha=90.00 beta=125.36 gamma=90.00
Fractional positions:
1 Li 0.000 0.000 0.000
2 Li 0.000 0.500 0.500
3 Pb 0.252 0.025 0.749
4 Pb 0.252 0.475 0.249
5 Pb 0.748 0.525 0.751
6 Pb 0.748 0.975 0.251
7 I 0.500 0.000 0.500
8 I 0.500 0.500 0.000
9 O 0.217 0.013 0.267
10 O 0.217 0.487 0.767
11 O 0.272 0.713 0.024
12 O 0.272 0.787 0.524
13 O 0.319 0.247 0.029
14 O 0.319 0.253 0.529
15 O 0.681 0.747 0.471
16 O 0.681 0.753 0.971
17 O 0.728 0.213 0.476
18 O 0.728 0.287 0.976
19 O 0.783 0.513 0.233
20 O 0.783 0.987 0.733